(1)
# PBE Ac3La2Tb, relaxed
data_Ac3La2Tb
_chemical_formula_sum 'Ac6 La4 Tb2'
_space_group_name_H-M_alt 'P 1 21/m 1'
_space_group_IT_number 11
_cell_length_a 9.0803
_cell_length_b 3.9348
_cell_length_c 13.6232
_cell_angle_alpha 90.00
_cell_angle_beta 90.08
_cell_angle_gamma 90.00
loop_
_space_group_symop_operation_xyz
'x,y,z'
'-x,-y,-z'
'-x,y+1/2,-z'
'x,-y+1/2,z'
loop_
_atom_site_label
_atom_site_fract_x
_atom_site_fract_y
_atom_site_fract_z
Ac1 0.0834 0.2500 0.3893
Ac2 0.3371 0.7500 0.9454
Ac3 0.3981 0.7500 0.2498
La1 0.0792 0.2500 0.1108
La2 0.3514 0.7500 0.5549
Tb1 0.1906 0.2500 0.7459
# - E (eV per atom) = -4.416
# - energy above the lowest structure with this stoichiometry (eV per formula unit) = 0.00
# - total magnetic moment (Bohr magnetons per cell) = 0.0
# - E_form (kJ/mol of formula units) = 31


(2)
# PBE Ac2La4Tb, relaxed
data_Ac2La4Tb
_chemical_formula_sum 'Ac4 La8 Tb2'
_space_group_name_H-M_alt 'I 4/m m m'
_space_group_IT_number 139
_space_group_name_Hall '-I 4 2'
_cell_length_a 5.7953
_cell_length_b 5.7953
_cell_length_c 18.5947
_cell_angle_alpha 90.00
_cell_angle_beta 90.00
_cell_angle_gamma 90.00
loop_
_atom_site_label
_atom_site_fract_x
_atom_site_fract_y
_atom_site_fract_z
Ac1 0.0000 0.0000 0.1253
La1 0.0000 0.0000 0.3234
La2 0.0000 0.5000 0.0000
Tb1 0.0000 0.0000 0.5000
# - E (eV per atom) = -4.118
# - energy above the lowest structure with this stoichiometry (eV per formula unit) = 3.54
# - total magnetic moment (Bohr magnetons per cell) = 1.9
# - E_form (kJ/mol of formula units) = 360


(3)
# PBE Ac8LaTb4, relaxed
data_Ac8LaTb4
_chemical_formula_sum 'Ac24 La3 Tb12'
_space_group_name_H-M_alt 'R -3 m'
_space_group_IT_number 166
_space_group_name_Hall '-R 3 2"'
_cell_length_a 11.8392
_cell_length_b 11.8392
_cell_length_c 14.4729
_cell_angle_alpha 90.00
_cell_angle_beta 90.00
_cell_angle_gamma 120.00
loop_
_atom_site_label
_atom_site_fract_x
_atom_site_fract_y
_atom_site_fract_z
Ac1 0.0000 0.0000 0.2400
Ac2 0.0132 0.5066 0.7464
La1 0.0000 0.0000 0.5000
Tb1 0.0000 0.0000 0.0000
Tb2 0.0000 0.5000 0.0000
# - E (eV per atom) = -3.936
# - total magnetic moment (Bohr magnetons per cell) = 0.0
# - E_form (kJ/mol of formula units) = 497


(4)
# PBE Ac2LaTb, relaxed
data_Ac2LaTb
_chemical_formula_sum 'Ac32 La16 Tb16'
_space_group_name_H-M_alt 'C 1 2/c 1'
_space_group_IT_number 15
_cell_length_a 7.5614
_cell_length_b 24.9399
_cell_length_c 13.5570
_cell_angle_alpha 90.00
_cell_angle_beta 90.39
_cell_angle_gamma 90.00
loop_
_space_group_symop_operation_xyz
'x,y,z'
'-x,-y,-z'
'-x,y,-z+1/2'
'x,-y,z+1/2'
'x+1/2,y+1/2,z'
'-x+1/2,-y+1/2,-z'
'-x+1/2,y+1/2,-z+1/2'
'x+1/2,-y+1/2,z+1/2'
loop_
_atom_site_label
_atom_site_fract_x
_atom_site_fract_y
_atom_site_fract_z
Ac1 0.0000 0.0190 0.2500
Ac2 0.0001 0.2489 0.0000
Ac3 0.0000 0.4761 0.7500
Ac4 0.2494 0.0012 0.9998
Ac5 0.2488 0.2290 0.7512
La1 0.0011 0.3867 0.1155
La2 0.2448 0.1362 0.3800
Tb1 0.0008 0.1153 0.6146
Tb2 0.2488 0.3650 0.8911
# - E (eV per atom) = -4.341
# - energy above the lowest structure with this stoichiometry (eV per formula unit) = 0.30
# - total magnetic moment (Bohr magnetons per cell) = 0.0
# - E_form (kJ/mol of formula units) = 40


(5)
# PBE Ac12LaTb6, relaxed
data_Ac12LaTb6
_chemical_formula_sum 'Ac36 La3 Tb18'
_space_group_name_H-M_alt 'R -3'
_space_group_IT_number 148
_space_group_name_Hall '-R 3'
_cell_length_a 15.8273
_cell_length_b 15.8273
_cell_length_c 11.1829
_cell_angle_alpha 90.00
_cell_angle_beta 90.00
_cell_angle_gamma 120.00
loop_
_atom_site_label
_atom_site_fract_x
_atom_site_fract_y
_atom_site_fract_z
Ac1 0.0526 0.8053 0.0779
Ac2 0.0637 0.8393 0.4158
La1 0.0000 0.0000 0.0000
Tb1 0.0543 0.8311 0.7573
# - E (eV per atom) = -4.055
# - total magnetic moment (Bohr magnetons per cell) = 0.0
# - E_form (kJ/mol of formula units) = 480


(6)
# PBE Ac2La15Tb2, relaxed
data_Ac2La15Tb2
_chemical_formula_sum 'Ac6 La45 Tb6'
_space_group_name_H-M_alt 'R -3 m'
_space_group_IT_number 166
_space_group_name_Hall '-R 3 2"'
_cell_length_a 11.7309
_cell_length_b 11.7309
_cell_length_c 18.0817
_cell_angle_alpha 90.00
_cell_angle_beta 90.00
_cell_angle_gamma 120.00
loop_
_atom_site_label
_atom_site_fract_x
_atom_site_fract_y
_atom_site_fract_z
Ac1 0.0000 0.0000 0.1704
La1 0.0000 0.2932 0.5000
La2 0.0000 0.5000 0.0000
La3 0.0105 0.5053 0.6409
Tb1 0.0000 0.0000 0.4061
# - E (eV per atom) = -4.636
# - total magnetic moment (Bohr magnetons per cell) = 0.0
# - E_form (kJ/mol of formula units) = 319


Q: Which of these has the highest total magnetic moment?
A: Ac2La4Tb